A geometry-optimized TbAl structure, computed with GGA-PBE.

It has space group P6_3/mmc (No. 194), with a = 5.2547 Å, b = 5.2547 Å, c = 5.9788 Å, α = 90.00°, β = 90.00° and γ = 120.00°. The distinct sites, in fractional coordinates, are Tb at (0.3333, 0.6667, 0.2500) and Al at (0.3333, 0.6667, 0.7500).

---

A geometry-optimized Nb2InRe structure, computed with GGA-PBE.

It has space group F-43m (No. 216), with a = 6.578 Å, b = 6.578 Å, c = 6.578 Å, α = 90.00°, β = 90.00° and γ = 90.00°. The distinct sites, in fractional coordinates, are Nb at (0.000, 0.000, 0.000), Nb at (0.250, 0.250, 0.250), In at (0.000, 0.000, 0.500) and Re at (0.250, 0.250, 0.750).

---

A geometry-optimized PuNiGe structure, computed with GGA-PBE.

It has space group F-43m (No. 216), with a = 6.271 Å, b = 6.271 Å, c = 6.271 Å, α = 90.00°, β = 90.00° and γ = 90.00°. The distinct sites, in fractional coordinates, are Pu at (0.000, 0.000, 0.000), Ni at (0.250, 0.250, 0.250) and Ge at (0.250, 0.250, 0.750).

---

A geometry-optimized NbB4As structure, computed with GGA-PBE.

It has space group Immm (No. 71), with a = 3.026 Å, b = 5.414 Å, c = 7.156 Å, α = 90.00°, β = 90.00° and γ = 90.00°. The distinct sites, in fractional coordinates, are Nb at (0.000, 0.000, 0.000), B at (0.000, 0.335, 0.248) and As at (0.000, 0.000, 0.500).

The calculation puts the energy above the most stable polymorph in this dataset at 39 meV/atom.

---

Number 1: calculated volume 35.74 A^3/atom, E_tot -3.616 eV per atom, size of the total moment 0.5 μB/f.u.. Number 2: calculated volume 17.79 A^3/atom, E_tot -8.598 eV per atom, size of the total moment 0.8 μB/f.u.. Number 3: calculated volume 20.55 A^3/atom, E_tot -7.742 eV per atom, size of the total moment 4.8 μB/f.u.. Number 4: calculated volume 9.77 A^3/atom, E_tot -6.779 eV per atom, size of the total moment 0.0 μB/f.u..